! LaPrI4 (PBE, optimized geometry); values from VASP
&SYSTEM
  ibrav = 0, nat = 6, ntyp = 3
/
ATOMIC_SPECIES
I 126.90 I.upf
Pr 140.91 Pr.upf
La 138.91 La.upf
ATOMIC_POSITIONS crystal
I 0.500 0.752 0.754
I 0.000 0.248 0.752
I 0.500 0.248 0.246
I 0.000 0.752 0.248
Pr 0.500 0.000 0.500
La 0.000 0.500 0.500
CELL_PARAMETERS angstrom
-1.541 3.750 -1.432
-6.848 -2.036 2.037
3.471 3.989 6.714
! density of states at the Fermi level: 0.650 states/eV/atom
! polymorph energy (0 for the lowest one): 0 meV/atom
! E_form (uncorrected): -1.344 eV per atom
! total energy: -4.00 eV per atom